# 1
# Ac3Tb3PuTe8 | the Alexandria database | PBE | optimized geometry
data_Ac3Tb3PuTe8
_chemical_formula_sum 'Ac3 Tb3 Pu1 Te8'
_space_group_name_H-M_alt 'P 1'
_space_group_IT_number 1
_space_group_name_Hall 'P 1'
_cell_length_a 8.977
_cell_length_b 8.977
_cell_length_c 9.165
_cell_angle_alpha 119.32
_cell_angle_beta 90.00
_cell_angle_gamma 120.00
loop_
_atom_site_label
_atom_site_type_symbol
_atom_site_fract_x
_atom_site_fract_y
_atom_site_fract_z
_atom_site_occupancy
Ac1 Ac 0.000 0.000 0.000 1
Ac2 Ac 0.000 0.500 0.000 1
Ac3 Ac 0.500 0.500 0.000 1
Tb1 Tb 0.500 0.000 0.500 1
Tb2 Tb 0.500 0.500 0.500 1
Tb3 Tb 0.000 0.500 0.500 1
Pu1 Pu 0.000 0.000 0.500 1
Te1 Te 0.258 0.516 0.274 1
Te2 Te 0.742 0.484 0.726 1
Te3 Te 0.749 0.497 0.265 1
Te4 Te 0.251 0.503 0.735 1
Te5 Te 0.749 0.016 0.265 1
Te6 Te 0.251 0.984 0.735 1
Te7 Te 0.267 0.016 0.265 1
Te8 Te 0.733 0.984 0.735 1
# Total moment   6.20 μB/cell
# VASP energy   -5.7729 eV per atom
# Density of states at the Fermi level   1.34 states/eV per atom
# Calculated density   7.6 g/cm³

# 2
# AcTbPuTh | the Alexandria database | PBE | optimized geometry
data_AcTbPuTh
_chemical_formula_sum 'Ac1 Tb1 Pu1 Th1'
_space_group_name_H-M_alt 'P 1'
_space_group_IT_number 1
_space_group_name_Hall 'P 1'
_cell_length_a 5.767
_cell_length_b 5.767
_cell_length_c 5.767
_cell_angle_alpha 60.00
_cell_angle_beta 60.00
_cell_angle_gamma 60.00
loop_
_atom_site_label
_atom_site_type_symbol
_atom_site_fract_x
_atom_site_fract_y
_atom_site_fract_z
_atom_site_occupancy
Ac1 Ac 0.750 0.750 0.750 1
Tb1 Tb 0.000 0.000 0.000 1
Th1 Th 0.500 0.500 0.500 1
Pu1 Pu 0.250 0.250 0.250 1
# Formation enthalpy at 0 K   125 kJ/mol of formula units
# Total moment   8.13 μB/cell
# VASP energy   -7.2978 eV per atom
# Density of states at the Fermi level   3.83 states/eV per atom
# Calculated density   10.6 g/cm³

# 3
# AcPu3Tc3 | the Alexandria database | PBE | optimized geometry
data_AcPu3Tc3
_chemical_formula_sum 'Ac2 Pu6 Tc6'
_space_group_name_H-M_alt 'P 1'
_space_group_IT_number 1
_space_group_name_Hall 'P 1'
_cell_length_a 7.169
_cell_length_b 7.169
_cell_length_c 7.169
_cell_angle_alpha 90.00
_cell_angle_beta 90.00
_cell_angle_gamma 90.00
loop_
_atom_site_label
_atom_site_type_symbol
_atom_site_fract_x
_atom_site_fract_y
_atom_site_fract_z
_atom_site_occupancy
Ac1 Ac 0.500 0.500 0.500 1
Ac2 Ac 0.000 0.000 0.000 1
Tc1 Tc 0.000 0.250 0.500 1
Tc2 Tc 0.000 0.750 0.500 1
Tc3 Tc 0.500 0.000 0.750 1
Tc4 Tc 0.750 0.500 0.000 1
Tc5 Tc 0.500 0.000 0.250 1
Tc6 Tc 0.250 0.500 0.000 1
Pu1 Pu 0.250 0.000 0.500 1
Pu2 Pu 0.000 0.500 0.250 1
Pu3 Pu 0.500 0.750 0.000 1
Pu4 Pu 0.750 0.000 0.500 1
Pu5 Pu 0.000 0.500 0.750 1
Pu6 Pu 0.500 0.250 0.000 1
# Formation enthalpy at 0 K   396 kJ/mol of formula units
# Total moment   24.59 μB/cell
# VASP energy   -10.5854 eV per atom
# Density of states at the Fermi level   2.18 states/eV per atom
# Calculated density   11.3 g/cm³